{
  "formula": "Ta5Re4Pd",
  "functional": "GGA-PBE",
  "state": "optimized geometry",
  "mass_density_g_cm3": 17.6,
  "total_energy_ev_per_atom": -11.7649,
  "volume_a3_per_atom": 16.551,
  "m_tot_mub_per_fu": 0.000,
  "cell": [[3.207, 0.000, 0.000], [0.000, 3.207, 0.000], [0.000, 0.000, 16.089]],
  "species": ["Ta", "Ta", "Ta", "Ta", "Ta", "Re", "Re", "Re", "Re", "Pd"],
  "fractional_positions": [[0.000, 0.000, 0.000], [0.000, 0.000, 0.198], [0.000, 0.000, 0.394], [0.000, 0.000, 0.606], [0.000, 0.000, 0.802], [0.500, 0.500, 0.099], [0.500, 0.500, 0.299], [0.500, 0.500, 0.701], [0.500, 0.500, 0.901], [0.500, 0.500, 0.500]]
}